First-principles (PBE) data for a relaxed CeEr2Ge2Rh5 crystal, as listed in the Alexandria database.

The space group is P4/mbm (No. 127) and the conventional cell measures 9.8311, 9.8311 and 3.7337 Å, with angles of 90.00, 90.00 and 90.00 degrees. Symmetry generates all atoms from Ce at (0.0000, 0.0000, 0.0000), Er at (0.1697, 0.3303, 0.0000), Ge at (0.1265, 0.6265, 0.0000), Rh at (0.0000, 0.5000, 0.5000) and Rh at (0.0690, 0.7882, 0.5000).

For the density of states at the Fermi level, the calculation gives 0.381 states/eV/atom. As for the formation energy from the elements: -0.856 eV per atom.

---

First-principles (PBE) data for a relaxed La2MgN crystal, as listed in the Alexandria database.

The space group is Ima2 (No. 46) and the conventional cell measures 5.4245, 10.6342 and 7.7225 Å, with angles of 90.00, 90.00 and 90.00 degrees. Symmetry generates all atoms from La at (0.2500, 0.1034, 0.0000), La at (0.2500, 0.7487, 0.2482), Mg at (0.2500, 0.0662, 0.4979) and N at (0.2500, 0.6115, 0.4996).

For the density of states at the Fermi level, the calculation gives 0.983 states/eV/atom. The value obtained for the energy relative to the elements, uncorrected is -0.6532 eV/atom. Its energy relative to the lowest polymorph listed for this composition is 0.04 eV/f.u.

---

First-principles (PBE) data for a relaxed Ac2YAlO6 crystal, as listed in the Alexandria database.

The space group is P4mm (No. 99) and the conventional cell measures 5.6270, 5.6270 and 4.7490 Å, with angles of 90.00, 90.00 and 90.00 degrees. Symmetry generates all atoms from Ac at (0.0000, 0.5000, 0.0000), Y at (0.0000, 0.0000, 0.5556), Al at (0.5000, 0.5000, 0.5644), O at (0.0000, 0.0000, 0.0961), O at (0.2691, 0.2691, 0.6688) and O at (0.5000, 0.5000, 0.1837).

For the density of states at the Fermi level, the calculation gives 0.000 states/eV/atom. The value obtained for the energy relative to the elements, uncorrected is -3.2347 eV/atom.

---

First-principles (PBE) data for a relaxed La2Co12Si7 crystal, as listed in the Alexandria database.

The space group is P-6 (No. 174) and the conventional cell measures 9.2337, 9.2337 and 3.7137 Å, with angles of 90.00, 90.00 and 120.00 degrees. Symmetry generates all atoms from La at (0.0000, 0.0000, 0.0000), La at (0.3333, 0.6667, 0.5000), Co at (0.0428, 0.2799, 0.5000), Co at (0.1052, 0.7142, 0.0000), Co at (0.3919, 0.1899, 0.0000), Co at (0.5557, 0.4371, 0.5000), Si at (0.0541, 0.4371, 0.0000), Si at (0.2764, 0.2382, 0.5000) and Si at (0.6667, 0.3333, 0.0000).

For the density of states at the Fermi level, the calculation gives 0.724 states/eV/atom. The value obtained for the energy relative to the elements, uncorrected is -0.5229 eV/atom.

---

First-principles (PBE) data for a relaxed KSbOs3 crystal, as listed in the Alexandria database.

The space group is Pm-3m (No. 221) and the conventional cell measures 4.6696, 4.6696 and 4.6696 Å, with angles of 90.00, 90.00 and 90.00 degrees. Symmetry generates all atoms from K at (0.0000, 0.0000, 0.0000), Sb at (0.5000, 0.5000, 0.5000) and Os at (0.0000, 0.0000, 0.5000).

For the density of states at the Fermi level, the calculation gives 1.589 states/eV/atom. The value obtained for the energy relative to the elements, uncorrected is 3.6250 eV/atom. Its energy relative to the lowest polymorph listed for this composition is 6.96 eV/f.u.

---

First-principles (PBE) data for a relaxed Ga3TcN crystal, as listed in the Alexandria database.

The space group is Pm-3m (No. 221) and the conventional cell measures 4.8437, 4.8437 and 4.8437 Å, with angles of 90.00, 90.00 and 90.00 degrees. Symmetry generates all atoms from Ga at (0.0000, 0.0000, 0.5000), Tc at (0.0000, 0.0000, 0.0000) and N at (0.5000, 0.5000, 0.5000).

For the density of states at the Fermi level, the calculation gives 0.571 states/eV/atom. The value obtained for the energy relative to the elements, uncorrected is 1.0942 eV/atom. Its energy relative to the lowest polymorph listed for this composition is 2.47 eV/f.u.

---

Repeat the sixth record exactly.
First-principles (PBE) data for a relaxed Ga3TcN crystal, as listed in the Alexandria database.

The space group is Pm-3m (No. 221) and the conventional cell measures 4.8437, 4.8437 and 4.8437 Å, with angles of 90.00, 90.00 and 90.00 degrees. Symmetry generates all atoms from Ga at (0.0000, 0.0000, 0.5000), Tc at (0.0000, 0.0000, 0.0000) and N at (0.5000, 0.5000, 0.5000).

For the density of states at the Fermi level, the calculation gives 0.571 states/eV/atom. The value obtained for the energy relative to the elements, uncorrected is 1.0942 eV/atom. Its energy relative to the lowest polymorph listed for this composition is 2.47 eV/f.u.